! ScNi2H PBE relaxed; values from VASP
&SYSTEM
  ibrav = 0, nat = 4, ntyp = 3
/
ATOMIC_SPECIES
Sc 44.96 Sc.upf
Ni 58.69 Ni.upf
H 1.01 H.upf
CELL_PARAMETERS angstrom
0.0000 2.8867 2.8867
2.8867 0.0000 2.8867
2.8867 2.8867 0.0000
ATOMIC_POSITIONS crystal
Sc 0.5000 0.5000 0.5000
Ni 0.2500 0.2500 0.2500
Ni 0.7500 0.7500 0.7500
H 0.0000 0.0000 0.0000
! Magnetization in μB per cell: 0.0
! Energy in Ry per atom: -0.3683
! Calculated volume in Å³/atom: 12.03
! Fermi-level density of states in states/eV/cell: 2.627

---

! ScNiH3 PBE relaxed; values from VASP
&SYSTEM
  ibrav = 0, nat = 10, ntyp = 3
/
ATOMIC_SPECIES
Sc 44.96 Sc.upf
Ni 58.69 Ni.upf
H 1.01 H.upf
CELL_PARAMETERS angstrom
-2.2928 -1.5089 -2.2947
2.4605 -2.4565 -0.8432
-2.2636 -6.0590 3.4570
ATOMIC_POSITIONS crystal
Sc 0.0000 0.0000 0.0000
Sc 0.2500 0.7500 0.5000
Ni 0.6537 0.1537 0.6926
Ni 0.8463 0.3463 0.3074
H 0.1337 0.8766 0.2468
H 0.1234 0.8663 0.7532
H 0.1234 0.3805 0.7532
H 0.6195 0.8766 0.2468
H 0.3295 0.3295 0.3410
H 0.6705 0.6705 0.6590
! Magnetization in μB per cell: 0.0
! Energy in Ry per atom: -0.3256
! Calculated volume in Å³/atom: 8.81
! Fermi-level density of states in states/eV/cell: 5.546

---

! ScNiH3 PBE relaxed; values from VASP
&SYSTEM
  ibrav = 0, nat = 20, ntyp = 3
/
ATOMIC_SPECIES
Sc 44.96 Sc.upf
Ni 58.69 Ni.upf
H 1.01 H.upf
CELL_PARAMETERS angstrom
-2.9383 1.9505 0.0280
-2.5470 -3.9398 7.1749
2.5554 3.8065 2.9973
ATOMIC_POSITIONS crystal
Sc 0.0000 0.0000 0.5000
Sc 0.5000 0.5000 0.0000
Sc 0.5000 0.0000 0.0000
Sc 0.0000 0.5000 0.5000
Ni 0.4999 0.2500 0.5880
Ni 0.0001 0.7500 0.0880
Ni 0.5001 0.7500 0.4120
Ni 0.9999 0.2500 0.9120
H 0.0000 0.8905 0.8778
H 0.5000 0.3905 0.3778
H 0.5000 0.1095 0.3778
H 0.0000 0.3905 0.1222
H 0.0000 0.1095 0.1222
H 0.5000 0.6095 0.6222
H 0.5000 0.8905 0.6222
H 0.0000 0.6095 0.8778
H 0.4999 0.2500 0.9008
H 0.0001 0.7500 0.4008
H 0.5001 0.7500 0.0992
H 0.9999 0.2500 0.5992
! Magnetization in μB per cell: 0.0
! Energy in Ry per atom: -0.3554
! Calculated volume in Å³/atom: 8.28
! Fermi-level density of states in states/eV/cell: 7.685